Entry 1:
DFT (PBE) results for a relaxed structure of Na2Er2PaSe6.

a = 7.149 Å, b = 12.359 Å, c = 7.464 Å
α = 90.00°, β = 108.64°, γ = 90.00°
Space group C2/m (No. 12)
One atom of each set of equivalent atoms:
Na  0.000  0.168  0.000 x4
Er  0.000  0.334  0.500 x4
Pa  0.000  0.000  0.500 x2
Se  0.241  0.167  0.725 x8
Se  0.243  0.500  0.725 x4

DFT total energy   -5.430 eV/atom
Crystal system   monoclinic
E_form (uncorrected)   -1.60 eV/atom

Entry 2:
DFT (PBE) results for a relaxed structure of LiSi2Pd4.

a = 17.482 Å, b = 3.989 Å, c = 5.933 Å
α = 90.00°, β = 90.00°, γ = 90.00°
Space group Pnma (No. 62)
One atom of each set of equivalent atoms:
Li  0.130  0.250  0.051 x4
Si  0.045  0.750  0.254 x4
Si  0.204  0.250  0.609 x4
Pd  0.034  0.750  0.853 x4
Pd  0.071  0.250  0.512 x4
Pd  0.181  0.750  0.353 x4
Pd  0.199  0.750  0.833 x4

E above lowest polymorph   0.0 meV per atom
DFT total energy   -5.455 eV/atom
Crystal system   orthorhombic
E_form (uncorrected)   -0.67 eV/atom

Entry 3:
DFT (PBE) results for a relaxed structure of HoNiSn.

a = 7.2778 Å, b = 7.2778 Å, c = 3.9105 Å
α = 90.00°, β = 90.00°, γ = 120.00°
Space group P-62m (No. 189)
One atom of each set of equivalent atoms:
Ho  0.0000  0.5921  0.0000 x3
Ni  0.0000  0.0000  0.0000 x1
Ni  0.3333  0.6667  0.5000 x2
Sn  0.0000  0.2567  0.5000 x3

ΔH_f (0 K)   -0.67 eV per atom
DFT total energy   -5.462 eV/atom
Crystal system   hexagonal